## Mn2VCl (PBE)

Data for an optimized crystal structure of Mn2VCl.

Unit cell a=4.394 b=4.394 c=4.394 alpha=60.00 beta=60.00 gamma=60.00
Positions (direct):
Mn (0.250, 0.250, 0.250)
Mn (0.750, 0.750, 0.750)
V (0.000, 0.000, 0.000)
Cl (0.500, 0.500, 0.500)

Values from the calculation:
- Space group: Fm-3m, No. 225
- Formation energy without anion corrections: 667 meV/atom
- Final energy: -6.66 eV/atom
- ΔE to the lowest computed polymorph: 127 meV/atom
- Volume: 60 Å³/cell


## Mn3VCl8 (PBE)

Data for an optimized crystal structure of Mn3VCl8.

Unit cell a=7.391 b=7.391 c=7.724 alpha=118.95 beta=118.95 gamma=60.00
Positions (direct):
Mn (0.000, 0.000, 0.000)
Mn (0.000, 0.500, 0.000)
Mn (0.500, 0.000, 0.000)
V (0.500, 0.500, 0.000)
Cl (0.240, 0.240, 0.217)
Cl (0.245, 0.736, 0.214)
Cl (0.264, 0.264, 0.786)
Cl (0.264, 0.755, 0.786)
Cl (0.736, 0.245, 0.214)
Cl (0.736, 0.736, 0.214)
Cl (0.755, 0.264, 0.786)
Cl (0.760, 0.760, 0.783)

Values from the calculation:
- Space group: C2/m, No. 12
- Formation energy without anion corrections: -1094 meV/atom
- Final energy: -5.38 eV/atom
- Volume: 303 Å³/cell


## MnV5Cl12 (PBE)

Data for an optimized crystal structure of MnV5Cl12.

Unit cell a=6.338 b=6.338 c=12.707 alpha=90.04 beta=90.04 gamma=120.04
Positions (direct):
Mn (0.000, 0.000, 0.000)
V (0.167, 0.833, 0.500)
V (0.333, 0.667, 0.000)
V (0.500, 0.500, 0.500)
V (0.667, 0.333, 0.000)
V (0.833, 0.167, 0.500)
Cl (0.000, 0.341, 0.107)
Cl (0.000, 0.659, 0.893)
Cl (0.166, 0.166, 0.395)
Cl (0.167, 0.500, 0.604)
Cl (0.340, 0.340, 0.893)
Cl (0.341, 0.000, 0.107)
Cl (0.500, 0.167, 0.604)
Cl (0.500, 0.833, 0.396)
Cl (0.659, 0.000, 0.893)
Cl (0.660, 0.660, 0.107)
Cl (0.833, 0.500, 0.396)
Cl (0.834, 0.834, 0.605)

Values from the calculation:
- Space group: C2/m, No. 12
- Formation energy without anion corrections: -1122 meV/atom
- Final energy: -5.40 eV/atom
- Volume: 442 Å³/cell


## MnVCl4 (PBE)

Data for an optimized crystal structure of MnVCl4.

Unit cell a=7.383 b=7.383 c=7.383 alpha=120.53 beta=119.52 gamma=89.96
Positions (direct):
Mn (0.000, 0.000, 0.000)
Mn (0.500, 0.000, 0.500)
V (0.500, 0.000, 0.000)
V (0.500, 0.500, 0.500)
Cl (0.261, 0.249, 0.488)
Cl (0.261, 0.772, 0.012)
Cl (0.265, 0.244, 0.022)
Cl (0.278, 0.756, 0.522)
Cl (0.722, 0.244, 0.478)
Cl (0.735, 0.756, 0.978)
Cl (0.739, 0.228, 0.988)
Cl (0.739, 0.751, 0.512)

Values from the calculation:
- Space group: Imma, No. 74
- Formation energy without anion corrections: -1102 meV/atom
- Final energy: -5.38 eV/atom
- ΔE to the lowest computed polymorph: 0 meV/atom
- Volume: 284 Å³/cell


## Mn2VCl6 (PBE)

Data for an optimized crystal structure of Mn2VCl6.

Unit cell a=8.518 b=8.518 c=7.689 alpha=106.15 beta=106.15 gamma=25.03
Positions (direct):
Mn (0.166, 0.166, 0.332)
Mn (0.834, 0.834, 0.668)
V (0.500, 0.500, 0.000)
Cl (0.006, 0.006, 0.223)
Cl (0.326, 0.326, 0.434)
Cl (0.343, 0.343, 0.901)
Cl (0.657, 0.657, 0.099)
Cl (0.674, 0.674, 0.566)
Cl (0.994, 0.994, 0.777)

Values from the calculation:
- Space group: C2/m, No. 12
- Formation energy without anion corrections: -1099 meV/atom
- Final energy: -5.38 eV/atom
- Volume: 226 Å³/cell


## MnVCl4 (PBE)

Data for an optimized crystal structure of MnVCl4.

Unit cell a=6.422 b=7.200 c=8.094 alpha=68.87 beta=80.46 gamma=65.92
Positions (direct):
Mn (0.039, 0.273, 0.221)
Mn (0.961, 0.727, 0.779)
V (0.230, 0.596, 0.376)
V (0.770, 0.404, 0.624)
Cl (0.160, 0.571, 0.092)
Cl (0.169, 0.247, 0.521)
Cl (0.275, 0.938, 0.200)
Cl (0.343, 0.613, 0.648)
Cl (0.657, 0.387, 0.352)
Cl (0.725, 0.062, 0.800)
Cl (0.831, 0.753, 0.479)
Cl (0.840, 0.429, 0.908)

Values from the calculation:
- Space group: P-1, No. 2
- Formation energy without anion corrections: -1044 meV/atom
- Final energy: -5.32 eV/atom
- ΔE to the lowest computed polymorph: 58 meV/atom
- Volume: 319 Å³/cell